VASP calculation (PBE-GGA) on an optimized crystal structure of Ho3BiIr.

Cell lengths 7.7332, 4.3207, 16.5203 Å; angles 90.00, 90.00, 90.00 degrees
Fractional coordinates of all 20 atoms:
Ho 0.0153 0.2500 0.0895
Ho 0.1347 0.7500 0.4499
Ho 0.1756 0.2500 0.7032
Ho 0.3244 0.7500 0.2032
Ho 0.3653 0.2500 0.9499
Ho 0.4847 0.7500 0.5895
Ho 0.5153 0.2500 0.4105
Ho 0.6347 0.7500 0.0501
Ho 0.6756 0.2500 0.7968
Ho 0.8244 0.7500 0.2968
Ho 0.8653 0.2500 0.5501
Ho 0.9847 0.7500 0.9105
Bi 0.1285 0.2500 0.3001
Bi 0.3715 0.7500 0.8001
Bi 0.6285 0.2500 0.1999
Bi 0.8715 0.7500 0.6999
Ir 0.2371 0.7500 0.0415
Ir 0.2629 0.2500 0.5415
Ir 0.7371 0.7500 0.4585
Ir 0.7629 0.2500 0.9585

The value obtained for the formation energy is -0.766 eV per atom. The value obtained for the energy above the most stable polymorph in this dataset is 0.0 meV per atom.

***

VASP calculation (PBE-GGA) on an optimized crystal structure of Ho8BiIr2.

Cell lengths 7.8440, 7.8440, 5.5892 Å; angles 97.08, 97.08, 112.98 degrees
Fractional coordinates of all 11 atoms:
Ho 0.1054 0.1054 0.7917
Ho 0.1650 0.4276 0.4116
Ho 0.2499 0.7501 0.0000
Ho 0.4276 0.1650 0.4116
Ho 0.5724 0.8350 0.5884
Ho 0.7501 0.2499 0.0000
Ho 0.8350 0.5724 0.5884
Ho 0.8946 0.8946 0.2083
Bi 0.5000 0.5000 0.0000
Ir 0.1911 0.8089 0.5000
Ir 0.8089 0.1911 0.5000

The value obtained for the formation energy is -0.494 eV per atom.

***

VASP calculation (PBE-GGA) on an optimized crystal structure of Ho5Bi2Ir.

Cell lengths 8.0648, 8.0648, 14.9050 Å; angles 90.00, 90.00, 139.29 degrees
Fractional coordinates of all 16 atoms:
Ho 0.0503 0.9497 0.6275
Ho 0.0503 0.9497 0.8725
Ho 0.2859 0.7141 0.6083
Ho 0.2859 0.7141 0.8917
Ho 0.2972 0.7028 0.2500
Ho 0.7028 0.2972 0.7500
Ho 0.7141 0.2859 0.1083
Ho 0.7141 0.2859 0.3917
Ho 0.9497 0.0503 0.1275
Ho 0.9497 0.0503 0.3725
Bi 0.1462 0.8538 0.0584
Bi 0.1462 0.8538 0.4416
Bi 0.8538 0.1462 0.5584
Bi 0.8538 0.1462 0.9416
Ir 0.1777 0.8223 0.7500
Ir 0.8223 0.1777 0.2500

The value obtained for the formation energy is -0.326 eV per atom.

***

VASP calculation (PBE-GGA) on an optimized crystal structure of Ho2BiIr.

Cell lengths 6.2496, 4.2843, 8.1401 Å; angles 90.00, 110.34, 90.00 degrees
Fractional coordinates of all 8 atoms:
Ho 0.1538 0.2500 0.3946
Ho 0.2358 0.7500 0.0457
Ho 0.7642 0.2500 0.9543
Ho 0.8462 0.7500 0.6054
Bi 0.3981 0.7500 0.7073
Bi 0.6019 0.2500 0.2927
Ir 0.1155 0.2500 0.7922
Ir 0.8845 0.7500 0.2078

The value obtained for the formation energy is -0.814 eV per atom. The value obtained for the energy above the most stable polymorph in this dataset is 0.0 meV per atom.

***

VASP calculation (PBE-GGA) on an optimized crystal structure of Ho2BiIr.

Cell lengths 3.4832, 3.4832, 8.1352 Å; angles 90.00, 90.00, 90.00 degrees
Fractional coordinates of all 4 atoms:
Ho 0.0000 0.0000 0.2013
Ho 0.0000 0.0000 0.7987
Bi 0.5000 0.5000 0.5000
Ir 0.5000 0.5000 0.0000

The value obtained for the formation energy is -0.731 eV per atom. The value obtained for the energy above the most stable polymorph in this dataset is 83.6 meV per atom.

***

VASP calculation (PBE-GGA) on an optimized crystal structure of HoBiIr4.

Cell lengths 5.3808, 5.3808, 5.3808 Å; angles 60.00, 60.00, 60.00 degrees
Fractional coordinates of all 6 atoms:
Ho 0.0000 0.0000 0.0000
Bi 0.7500 0.7500 0.7500
Ir 0.3751 0.3751 0.3751
Ir 0.3751 0.3751 0.8746
Ir 0.3751 0.8746 0.3751
Ir 0.8746 0.3751 0.3751

The value obtained for the formation energy is -0.275 eV per atom.